{
  "formula": "FePt2Br",
  "functional": "PBEsol",
  "state": "optimized geometry",
  "sg": "P4mm",
  "e_form_raw_mev_per_atom": 357,
  "final_energy_ha_per_atom": -0.214,
  "lattice": [[2.868, 0.000, 0.000], [0.000, 2.868, 0.000], [0.000, 0.000, 7.708]],
  "species": ["Fe", "Pt", "Pt", "Br"],
  "frac_coords": [[0.000, 0.000, 0.000], [0.000, 0.000, 0.463], [0.500, 0.500, 0.216], [0.500, 0.500, 0.785]]
}

***

{
  "formula": "Ni2MoRh",
  "functional": "PBEsol",
  "state": "optimized geometry",
  "e_form_ev_per_atom": -0.10,
  "sg": "I4/mmm",
  "final_energy_ha_per_atom": -0.300,
  "lattice": [[3.639, 0.000, 0.000], [0.000, 3.639, 0.000], [0.000, 0.000, 7.424]],
  "species": ["Ni", "Ni", "Ni", "Ni", "Mo", "Mo", "Rh", "Rh"],
  "frac_coords": [[0.000, 0.500, 0.250], [0.000, 0.500, 0.750], [0.500, 0.000, 0.250], [0.500, 0.000, 0.750], [0.000, 0.000, 0.000], [0.500, 0.500, 0.500], [0.000, 0.000, 0.500], [0.500, 0.500, 0.000]]
}

***

{
  "formula": "BaZnCo2",
  "functional": "PBEsol",
  "state": "optimized geometry",
  "e_form_ev_per_atom": 0.37,
  "sg": "P4mm",
  "final_energy_ha_per_atom": -0.163,
  "lattice": [[3.086, 0.000, 0.000], [0.000, 3.086, 0.000], [0.000, 0.000, 7.415]],
  "species": ["Ba", "Zn", "Co", "Co"],
  "frac_coords": [[0.000, 0.000, 0.000], [0.500, 0.500, 0.651], [0.000, 0.000, 0.460], [0.500, 0.500, 0.326]]
}

***

{
  "formula": "OsRuRh2",
  "functional": "PBEsol",
  "state": "optimized geometry",
  "e_form_ev_per_atom": 0.17,
  "sg": "Amm2",
  "final_energy_ha_per_atom": -0.349,
  "lattice": [[4.140, 0.000, 0.000], [0.000, 2.643, 0.000], [0.000, 0.000, 9.987]],
  "species": ["Os", "Os", "Ru", "Ru", "Rh", "Rh", "Rh", "Rh"],
  "frac_coords": [[0.000, 0.000, 0.000], [0.000, 0.500, 0.500], [0.500, 0.000, 0.651], [0.500, 0.500, 0.151], [0.000, 0.000, 0.255], [0.000, 0.500, 0.755], [0.500, 0.000, 0.398], [0.500, 0.500, 0.898]]
}

***

{
  "formula": "Ca3Cu2Si4O14",
  "functional": "PBEsol",
  "state": "optimized geometry",
  "sg": "C2/c",
  "e_form_raw_mev_per_atom": -2420,
  "final_energy_ha_per_atom": -0.267,
  "lattice": [[8.615, -3.681, 0.000], [8.615, 3.681, 0.000], [-5.211, 0.000, 8.494]],
  "species": ["Ca", "Ca", "Ca", "Ca", "Ca", "Ca", "Cu", "Cu", "Cu", "Cu", "Si", "Si", "Si", "Si", "Si", "Si", "Si", "Si", "O", "O", "O", "O", "O", "O", "O", "O", "O", "O", "O", "O", "O", "O", "O", "O", "O", "O", "O", "O", "O", "O", "O", "O", "O", "O", "O", "O"],
  "frac_coords": [[0.155, 0.845, 0.750], [0.273, 0.331, 0.545], [0.331, 0.273, 0.045], [0.669, 0.727, 0.955], [0.727, 0.669, 0.455], [0.845, 0.155, 0.250], [0.266, 0.734, 0.250], [0.500, 0.500, 0.000], [0.500, 0.500, 0.500], [0.734, 0.266, 0.750], [0.003, 0.640, 0.839], [0.093, 0.669, 0.348], [0.331, 0.907, 0.152], [0.360, 0.997, 0.661], [0.640, 0.003, 0.339], [0.669, 0.093, 0.848], [0.907, 0.331, 0.652], [0.997, 0.360, 0.161], [0.019, 0.620, 0.675], [0.039, 0.853, 0.305], [0.074, 0.494, 0.195], [0.127, 0.194, 0.599], [0.147, 0.961, 0.195], [0.194, 0.127, 0.099], [0.206, 0.556, 0.975], [0.248, 0.609, 0.522], [0.357, 0.513, 0.296], [0.380, 0.981, 0.825], [0.391, 0.752, 0.978], [0.444, 0.794, 0.525], [0.487, 0.643, 0.204], [0.494, 0.074, 0.695], [0.506, 0.926, 0.305], [0.513, 0.357, 0.796], [0.556, 0.206, 0.475], [0.609, 0.248, 0.022], [0.620, 0.019, 0.175], [0.643, 0.487, 0.704], [0.752, 0.391, 0.478], [0.794, 0.444, 0.025], [0.806, 0.873, 0.901], [0.853, 0.039, 0.805], [0.873, 0.806, 0.401], [0.926, 0.506, 0.805], [0.961, 0.147, 0.695], [0.981, 0.380, 0.325]]
}

***

{
  "formula": "KBa3",
  "functional": "PBEsol",
  "state": "optimized geometry",
  "e_form_ev_per_atom": 0.09,
  "sg": "Imm2",
  "final_energy_ha_per_atom": -0.066,
  "lattice": [[4.340, 0.000, 0.000], [0.000, 14.623, 0.000], [0.000, 0.000, 7.758]],
  "species": ["K", "K", "Ba", "Ba", "Ba", "Ba", "Ba", "Ba"],
  "frac_coords": [[0.000, 0.000, 0.000], [0.500, 0.500, 0.500], [0.000, 0.250, 0.684], [0.000, 0.500, 0.000], [0.000, 0.750, 0.684], [0.500, 0.000, 0.500], [0.500, 0.250, 0.184], [0.500, 0.750, 0.184]]
}

***

{
  "formula": "Li3ReRu",
  "functional": "PBEsol",
  "state": "optimized geometry",
  "e_form_ev_per_atom": 1.81,
  "sg": "Pm-3m",
  "final_energy_ha_per_atom": -0.149,
  "lattice": [[4.097, 0.000, 0.000], [0.000, 4.097, 0.000], [0.000, 0.000, 4.097]],
  "species": ["Li", "Li", "Li", "Re", "Ru"],
  "frac_coords": [[0.000, 0.000, 0.500], [0.000, 0.500, 0.000], [0.500, 0.000, 0.000], [0.500, 0.500, 0.500], [0.000, 0.000, 0.000]]
}

***

{
  "formula": "CdRh3",
  "functional": "PBEsol",
  "state": "optimized geometry",
  "e_form_ev_per_atom": 0.21,
  "sg": "P2/m",
  "final_energy_ha_per_atom": -0.228,
  "lattice": [[2.712, 0.000, 0.000], [0.000, 4.592, 0.000], [-0.256, 0.000, 4.773]],
  "species": ["Cd", "Rh", "Rh", "Rh"],
  "frac_coords": [[0.000, 0.000, 0.000], [0.275, 0.500, 0.733], [0.500, 0.000, 0.500], [0.725, 0.500, 0.267]]
}

***

{
  "formula": "KLaTe3",
  "functional": "PBEsol",
  "state": "optimized geometry",
  "sg": "Pm-3m",
  "e_form_raw_mev_per_atom": 60,
  "final_energy_ha_per_atom": -0.123,
  "lattice": [[5.670, 0.000, 0.000], [0.000, 5.670, 0.000], [0.000, 0.000, 5.670]],
  "species": ["K", "La", "Te", "Te", "Te"],
  "frac_coords": [[0.000, 0.000, 0.000], [0.500, 0.500, 0.500], [0.000, 0.000, 0.500], [0.000, 0.500, 0.000], [0.500, 0.000, 0.000]]
}

***

{
  "formula": "RbIn2GeC",
  "functional": "PBEsol",
  "state": "optimized geometry",
  "e_form_ev_per_atom": 0.92,
  "sg": "P4/mmm",
  "final_energy_ha_per_atom": -0.125,
  "lattice": [[5.943, 0.000, 0.000], [0.000, 5.943, 0.000], [0.000, 0.000, 3.791]],
  "species": ["Rb", "In", "In", "Ge", "C"],
  "frac_coords": [[0.000, 0.000, 0.000], [0.000, 0.500, 0.500], [0.500, 0.000, 0.500], [0.500, 0.500, 0.000], [0.500, 0.500, 0.500]]
}

***

{
  "formula": "MnSiTc",
  "functional": "PBEsol",
  "state": "optimized geometry",
  "sg": "I4mm",
  "e_form_raw_mev_per_atom": -406,
  "final_energy_ha_per_atom": -0.343,
  "lattice": [[2.808, 0.000, 0.000], [0.000, 2.808, 0.000], [0.000, 0.000, 8.929]],
  "species": ["Mn", "Mn", "Si", "Si", "Tc", "Tc"],
  "frac_coords": [[0.000, 0.000, 0.000], [0.500, 0.500, 0.500], [0.000, 0.000, 0.353], [0.500, 0.500, 0.853], [0.000, 0.000, 0.676], [0.500, 0.500, 0.176]]
}

***

{
  "formula": "ZnFeRh",
  "functional": "PBEsol",
  "state": "optimized geometry",
  "e_form_ev_per_atom": 0.03,
  "sg": "Fmm2",
  "final_energy_ha_per_atom": -0.228,
  "lattice": [[2.794, 0.000, 0.000], [0.000, 4.362, 0.000], [0.000, 0.000, 12.627]],
  "species": ["Zn", "Zn", "Zn", "Zn", "Fe", "Fe", "Fe", "Fe", "Rh", "Rh", "Rh", "Rh"],
  "frac_coords": [[0.000, 0.000, 0.000], [0.000, 0.500, 0.500], [0.500, 0.000, 0.500], [0.500, 0.500, 0.000], [0.000, 0.000, 0.335], [0.000, 0.500, 0.835], [0.500, 0.000, 0.835], [0.500, 0.500, 0.335], [0.000, 0.000, 0.671], [0.000, 0.500, 0.171], [0.500, 0.000, 0.171], [0.500, 0.500, 0.671]]
}

***

{
  "formula": "ScW2Cl",
  "functional": "PBEsol",
  "state": "optimized geometry",
  "sg": "I4/mmm",
  "e_form_raw_mev_per_atom": 441,
  "final_energy_ha_per_atom": -0.317,
  "lattice": [[3.627, 0.000, 0.000], [0.000, 3.627, 0.000], [0.000, 0.000, 10.415]],
  "species": ["Sc", "Sc", "W", "W", "W", "W", "Cl", "Cl"],
  "frac_coords": [[0.000, 0.000, 0.000], [0.500, 0.500, 0.500], [0.000, 0.500, 0.250], [0.000, 0.500, 0.750], [0.500, 0.000, 0.250], [0.500, 0.000, 0.750], [0.000, 0.000, 0.500], [0.500, 0.500, 0.000]]
}

***

{
  "formula": "AgRh2",
  "functional": "PBEsol",
  "state": "optimized geometry",
  "e_form_ev_per_atom": 1.19,
  "sg": "P4/mmm",
  "final_energy_ha_per_atom": -0.196,
  "lattice": [[4.451, 0.000, 0.000], [0.000, 4.451, 0.000], [0.000, 0.000, 2.698]],
  "species": ["Ag", "Rh", "Rh"],
  "frac_coords": [[0.000, 0.000, 0.000], [0.000, 0.500, 0.500], [0.500, 0.000, 0.500]]
}

***

{
  "formula": "SrYPt2",
  "functional": "PBEsol",
  "state": "optimized geometry",
  "e_form_ev_per_atom": -0.90,
  "sg": "Amm2",
  "final_energy_ha_per_atom": -0.241,
  "lattice": [[4.406, 0.000, 0.000], [0.000, 3.879, 0.000], [0.000, 0.000, 10.902]],
  "species": ["Sr", "Sr", "Y", "Y", "Pt", "Pt", "Pt", "Pt"],
  "frac_coords": [[0.000, 0.000, 0.000], [0.000, 0.500, 0.500], [0.500, 0.000, 0.279], [0.500, 0.500, 0.779], [0.000, 0.000, 0.727], [0.000, 0.500, 0.227], [0.500, 0.000, 0.570], [0.500, 0.500, 0.070]]
}

***

{
  "formula": "SrCd3",
  "functional": "PBEsol",
  "state": "optimized geometry",
  "e_form_ev_per_atom": -0.18,
  "sg": "P2/m",
  "final_energy_ha_per_atom": -0.057,
  "lattice": [[3.739, 0.000, 0.000], [0.000, 4.996, 0.000], [-0.019, 0.000, 5.851]],
  "species": ["Sr", "Cd", "Cd", "Cd"],
  "frac_coords": [[0.000, 0.000, 0.000], [0.498, 0.500, 0.748], [0.500, 0.000, 0.500], [0.502, 0.500, 0.252]]
}

***

{
  "formula": "CaTe2Rh",
  "functional": "PBEsol",
  "state": "optimized geometry",
  "sg": "Amm2",
  "e_form_raw_mev_per_atom": -671,
  "final_energy_ha_per_atom": -0.184,
  "lattice": [[4.629, 0.000, 0.000], [0.000, 4.331, 0.000], [0.000, 0.000, 11.122]],
  "species": ["Ca", "Ca", "Te", "Te", "Te", "Te", "Rh", "Rh"],
  "frac_coords": [[0.000, 0.000, 0.000], [0.000, 0.500, 0.500], [0.000, 0.000, 0.708], [0.000, 0.500, 0.208], [0.500, 0.000, 0.424], [0.500, 0.500, 0.924], [0.500, 0.000, 0.805], [0.500, 0.500, 0.305]]
}

***

{
  "formula": "In2HgCl",
  "functional": "PBEsol",
  "state": "optimized geometry",
  "sg": "Fm-3m",
  "e_form_raw_mev_per_atom": -240,
  "final_energy_ha_per_atom": -0.087,
  "lattice": [[7.325, 0.000, 0.000], [0.000, 7.325, 0.000], [0.000, 0.000, 7.325]],
  "species": ["In", "In", "In", "In", "In", "In", "In", "In", "Hg", "Hg", "Hg", "Hg", "Cl", "Cl", "Cl", "Cl"],
  "frac_coords": [[0.250, 0.250, 0.250], [0.250, 0.250, 0.750], [0.250, 0.750, 0.250], [0.250, 0.750, 0.750], [0.750, 0.250, 0.250], [0.750, 0.250, 0.750], [0.750, 0.750, 0.250], [0.750, 0.750, 0.750], [0.000, 0.000, 0.000], [0.000, 0.500, 0.500], [0.500, 0.000, 0.500], [0.500, 0.500, 0.000], [0.000, 0.000, 0.500], [0.000, 0.500, 0.000], [0.500, 0.000, 0.000], [0.500, 0.500, 0.500]]
}

***

{
  "formula": "Sr3CoTc",
  "functional": "PBEsol",
  "state": "optimized geometry",
  "e_form_ev_per_atom": 1.14,
  "sg": "Pm-3m",
  "final_energy_ha_per_atom": -0.138,
  "lattice": [[5.404, 0.000, 0.000], [0.000, 5.404, 0.000], [0.000, 0.000, 5.404]],
  "species": ["Sr", "Sr", "Sr", "Co", "Tc"],
  "frac_coords": [[0.000, 0.000, 0.500], [0.000, 0.500, 0.000], [0.500, 0.000, 0.000], [0.000, 0.000, 0.000], [0.500, 0.500, 0.500]]
}

***

{
  "formula": "HfTiC2",
  "functional": "PBEsol",
  "state": "optimized geometry",
  "e_form_ev_per_atom": -0.91,
  "sg": "R-3m",
  "final_energy_ha_per_atom": -0.384,
  "lattice": [[3.158, 0.000, 0.000], [-1.579, 2.735, 0.000], [0.000, 0.000, 15.404]],
  "species": ["Hf", "Hf", "Hf", "Ti", "Ti", "Ti", "C", "C", "C", "C", "C", "C"],
  "frac_coords": [[0.000, 0.000, 0.000], [0.333, 0.667, 0.667], [0.667, 0.333, 0.333], [0.000, 0.000, 0.500], [0.333, 0.667, 0.167], [0.667, 0.333, 0.833], [0.000, 0.000, 0.246], [0.000, 0.000, 0.754], [0.333, 0.667, 0.421], [0.333, 0.667, 0.912], [0.667, 0.333, 0.088], [0.667, 0.333, 0.579]]
}

***

| no. | calculated volume (Å³/atom) |
| --- | --- |
| 1 | 15.85 |
| 2 | 12.29 |
| 3 | 17.65 |
| 4 | 13.66 |
| 5 | 11.71 |
| 6 | 61.55 |
| 7 | 13.76 |
| 8 | 14.86 |
| 9 | 36.46 |
| 10 | 26.78 |
| 11 | 11.73 |
| 12 | 12.82 |
| 13 | 17.13 |
| 14 | 17.82 |
| 15 | 23.29 |
| 16 | 27.33 |
| 17 | 27.87 |
| 18 | 24.57 |
| 19 | 31.56 |
| 20 | 11.09 |